This record from Alexandria via LeMat-Bulk describes a relaxed structure of VCl2O2. The functional is PBE+U.

## Properties
- electronic total energy (eV/atom) = -4.3729
- magnetization (μB/atom) = 0.437

abc: 5.1388 5.1388 5.1388
angles: 103.43 103.43 122.38
Fractional coordinates of all 5 atoms:
V  0.0000  0.0000  0.0000
Cl  0.2500  0.7500  0.5000
Cl  0.7500  0.2500  0.5000
O  0.3649  0.3649  0.0000
O  0.6351  0.6351  0.0000